# 1
The following is a DFT calculation (PBE) of a geometry-optimized HfTcGeH2 structure.

Structure (extended XYZ):
```
10
Lattice="1.935 -4.835 0.000 1.935 4.835 0.000 0.000 0.000 5.889" Properties=species:S:1:pos:R:3 pbc="T T T"
Hf 1.935 2.777 4.416
Hf 1.935 -2.777 1.472
Tc 1.935 0.000 0.000
Tc 1.935 0.000 2.944
Ge 1.935 4.102 1.472
Ge 1.935 -4.102 4.416
H 1.935 1.757 0.414
H 1.935 1.757 2.531
H 1.935 -1.757 3.358
H 1.935 -1.757 5.475
```

total magnetization = 0.000 μB per atom
DOS at the Fermi energy = 0.285 states/eV per atom
crystal system = orthorhombic
V = 11.0 Å³/atom
ρ = 10.58 Mg/m³
DFT total energy = -0.4921 Ry per atom



# 2
The following is a DFT calculation (PBE) of a geometry-optimized Hf2TcGeH structure.

Structure (extended XYZ):
```
5
Lattice="4.405 0.000 0.000 0.000 4.405 0.000 0.000 0.000 3.789" Properties=species:S:1:pos:R:3 pbc="T T T"
Hf 0.000 2.203 0.000
Hf 2.203 0.000 0.000
Tc 0.000 0.000 1.895
Ge 2.203 2.203 1.895
H 0.000 0.000 0.000
```

total magnetization = 0.000 μB per atom
DOS at the Fermi energy = 0.711 states/eV per atom
crystal system = tetragonal
V = 14.7 Å³/atom
ρ = 11.94 Mg/m³
DFT total energy = -0.5889 Ry per atom



# 3
The following is a DFT calculation (PBE) of a geometry-optimized Hf2GeTeH structure.

Structure (extended XYZ):
```
5
Lattice="5.286 0.000 0.000 0.000 5.286 0.000 0.000 0.000 5.393" Properties=species:S:1:pos:R:3 pbc="T T T"
Hf 0.000 2.643 0.000
Hf 2.643 0.000 0.000
Ge 0.000 0.000 2.697
Te 0.000 0.000 0.000
H 2.643 2.643 2.697
```

total magnetization = 0.098 μB per atom
DOS at the Fermi energy = 1.197 states/eV per atom
crystal system = tetragonal
V = 30.1 Å³/atom
ρ = 6.15 Mg/m³
DFT total energy = -0.3372 Ry per atom



# 4
The following is a DFT calculation (PBE) of a geometry-optimized HfTi2GeH structure.

Structure (extended XYZ):
```
5
Lattice="4.043 0.000 0.000 0.000 4.043 0.000 0.000 0.000 4.346" Properties=species:S:1:pos:R:3 pbc="T T T"
Hf 0.000 0.000 0.000
Ti 0.000 2.021 2.173
Ti 2.021 0.000 2.173
Ge 2.021 2.021 0.000
H 0.000 0.000 2.173
```

total magnetization = 0.000 μB per atom
DOS at the Fermi energy = 1.101 states/eV per atom
crystal system = tetragonal
V = 14.2 Å³/atom
ρ = 8.13 Mg/m³
DFT total energy = -0.5263 Ry per atom



# 5
The following is a DFT calculation (PBE) of a geometry-optimized HfTl2GeH structure.

Structure (extended XYZ):
```
5
Lattice="5.794 0.000 0.000 0.000 5.794 0.000 0.000 0.000 5.138" Properties=species:S:1:pos:R:3 pbc="T T T"
Hf 0.000 0.000 0.000
Tl 0.000 2.897 0.000
Tl 2.897 0.000 0.000
Ge 0.000 0.000 2.569
H 2.897 2.897 2.569
```

total magnetization = 0.172 μB per atom
DOS at the Fermi energy = 0.749 states/eV per atom
crystal system = tetragonal
V = 34.5 Å³/atom
ρ = 6.36 Mg/m³
DFT total energy = -0.2662 Ry per atom



# 6
The following is a DFT calculation (PBE) of a geometry-optimized HfZr2GeH structure.

Structure (extended XYZ):
```
5
Lattice="4.306 0.000 0.000 0.000 4.306 0.000 0.000 0.000 4.474" Properties=species:S:1:pos:R:3 pbc="T T T"
Hf 0.000 0.000 0.000
Zr 0.000 2.153 2.237
Zr 2.153 0.000 2.237
Ge 2.153 2.153 0.000
H 0.000 0.000 2.237
```

total magnetization = 0.000 μB per atom
DOS at the Fermi energy = 0.673 states/eV per atom
crystal system = tetragonal
V = 16.6 Å³/atom
ρ = 8.70 Mg/m³
DFT total energy = -0.5444 Ry per atom



# 7
The following is a DFT calculation (PBE) of a geometry-optimized Hg2GeH2 structure.

Structure (extended XYZ):
```
10
Lattice="5.593 0.000 0.000 0.000 5.593 0.000 0.000 0.000 5.428" Properties=species:S:1:pos:R:3 pbc="T T T"
Hg 1.046 1.751 0.000
Hg 1.751 4.547 0.000
Hg 3.842 1.046 0.000
Hg 4.547 3.842 0.000
Ge 0.000 0.000 2.714
Ge 2.797 2.797 2.714
H 1.334 1.462 2.714
H 1.462 4.259 2.714
H 4.131 1.334 2.714
H 4.259 4.131 2.714
```

total magnetization = 0.000 μB per atom
DOS at the Fermi energy = 0.314 states/eV per atom
crystal system = tetragonal
V = 17.0 Å³/atom
ρ = 9.31 Mg/m³
DFT total energy = -0.1440 Ry per atom



# 8
The following is a DFT calculation (PBE) of a geometry-optimized HgGe2H2 structure.

Structure (extended XYZ):
```
10
Lattice="7.411 0.000 0.000 0.000 7.411 0.000 0.000 0.000 2.896" Properties=species:S:1:pos:R:3 pbc="T T T"
Hg 0.000 0.000 0.000
Hg 3.706 3.706 0.000
Ge 0.886 2.819 0.000
Ge 2.819 6.525 0.000
Ge 4.592 0.886 0.000
Ge 6.525 4.592 0.000
H 0.708 4.413 1.448
H 2.998 0.708 1.448
H 4.413 6.704 1.448
H 6.704 2.998 1.448
```

total magnetization = 0.000 μB per atom
DOS at the Fermi energy = 0.193 states/eV per atom
crystal system = tetragonal
V = 15.9 Å³/atom
ρ = 7.26 Mg/m³
DFT total energy = -0.1977 Ry per atom



# 9
The following is a DFT calculation (PBE) of a geometry-optimized Hg2GeH structure.

Structure (extended XYZ):
```
4
Lattice="0.000 3.364 3.364 3.364 0.000 3.364 3.364 3.364 0.000" Properties=species:S:1:pos:R:3 pbc="T T T"
Hg 1.682 1.682 1.682
Hg 5.047 5.047 5.047
Ge 0.000 0.000 0.000
H 3.364 3.364 3.364
```

total magnetization = 0.021 μB per atom
DOS at the Fermi energy = 0.648 states/eV per atom
crystal system = cubic
V = 19.0 Å³/atom
excess energy over the best structure of this formula in the dataset = 0.162 eV/atom
ρ = 10.35 Mg/m³



# 10
The following is a DFT calculation (PBE) of a geometry-optimized Hg2Ge2H structure.

Structure (extended XYZ):
```
10
Lattice="7.039 0.000 0.000 0.000 7.039 0.000 0.000 0.000 4.219" Properties=species:S:1:pos:R:3 pbc="T T T"
Hg 1.358 2.161 0.000
Hg 2.161 5.681 0.000
Hg 4.878 1.358 0.000
Hg 5.681 4.878 0.000
Ge 0.870 4.390 2.110
Ge 2.649 0.870 2.110
Ge 4.390 6.169 2.110
Ge 6.169 2.649 2.110
H 0.000 0.000 0.000
H 3.520 3.520 0.000
```

total magnetization = 0.000 μB per atom
DOS at the Fermi energy = 0.460 states/eV per atom
crystal system = tetragonal
V = 20.9 Å³/atom
excess energy over the best structure of this formula in the dataset = 0.026 eV/atom
ρ = 8.70 Mg/m³



# 11
The following is a DFT calculation (PBE) of a geometry-optimized Hg2GeH structure.

Structure (extended XYZ):
```
8
Lattice="-2.566 2.566 6.315 2.566 -2.566 6.315 2.566 2.566 -6.315" Properties=species:S:1:pos:R:3 pbc="T T T"
Hg 3.849 0.810 -1.579
Hg 0.810 1.283 1.579
Hg -1.283 1.756 4.736
Hg 1.756 1.283 7.894
Ge 2.566 0.000 3.158
Ge 0.000 0.000 6.315
H 0.000 0.000 0.000
H 0.000 2.566 3.158
```

total magnetization = 0.000 μB per atom
DOS at the Fermi energy = 0.445 states/eV per atom
crystal system = tetragonal
V = 20.8 Å³/atom
excess energy over the best structure of this formula in the dataset = 0.000 eV/atom
ρ = 9.48 Mg/m³



# 12
The following is a DFT calculation (PBE) of a geometry-optimized Hg3GeH structure.

Structure (extended XYZ):
```
5
Lattice="4.639 0.000 0.000 0.000 4.639 0.000 0.000 0.000 4.639" Properties=species:S:1:pos:R:3 pbc="T T T"
Hg 0.000 0.000 2.320
Hg 0.000 2.320 0.000
Hg 2.320 0.000 0.000
Ge 2.320 2.320 2.320
H 0.000 0.000 0.000
```

total magnetization = 0.000 μB per atom
DOS at the Fermi energy = 0.475 states/eV per atom
crystal system = cubic
V = 20.0 Å³/atom
ρ = 11.23 Mg/m³
DFT total energy = -0.0927 Ry per atom



# 13
The following is a DFT calculation (PBE) of a geometry-optimized Hg2Ge2H structure.

Structure (extended XYZ):
```
5
Lattice="-1.832 1.832 7.947 1.832 -1.832 7.947 1.832 1.832 -7.947" Properties=species:S:1:pos:R:3 pbc="T T T"
Hg 0.000 0.000 1.390
Hg 0.000 0.000 14.505
Ge 1.832 0.000 3.974
Ge 0.000 1.832 3.974
H 0.000 0.000 7.947
```

total magnetization = 0.000 μB per atom
DOS at the Fermi energy = 0.397 states/eV per atom
crystal system = tetragonal
V = 21.3 Å³/atom
excess energy over the best structure of this formula in the dataset = 0.000 eV/atom
ρ = 8.52 Mg/m³



# 14
The following is a DFT calculation (PBE) of a geometry-optimized InHg2GeH structure.

Structure (extended XYZ):
```
5
Lattice="5.547 0.000 0.000 0.000 5.547 0.000 0.000 0.000 3.527" Properties=species:S:1:pos:R:3 pbc="T T T"
In 0.000 0.000 0.000
Hg 0.000 2.773 1.763
Hg 2.773 0.000 1.763
Ge 2.773 2.773 1.763
H 2.773 2.773 0.000
```

total magnetization = 0.000 μB per atom
DOS at the Fermi energy = 0.309 states/eV per atom
crystal system = tetragonal
V = 21.7 Å³/atom
ρ = 9.02 Mg/m³
DFT total energy = -0.1525 Ry per atom